CaGa3Re: relaxed, GGA-PBE.

## Properties
Formation energy from the elements ... -175 meV per atom
Magnetic moment ... 0.000 μB per cell
E above lowest polymorph ... 0 meV/atom

Cell lengths 4.852, 4.852, 4.852 Å; angles 90.00, 90.00, 90.00 degrees
Sites, in units of the cell vectors:
Re (0.000, 0.000, 0.000)
Ca (0.500, 0.500, 0.500)
Ga (0.000, 0.500, 0.000)
Ga (0.000, 0.000, 0.500)
Ga (0.500, 0.000, 0.000)

=====

Rb2Hg5Au4: relaxed, GGA-PBE.

## Properties
Formation energy from the elements ... -151 meV per atom
Magnetic moment ... 0.000 μB per cell
E above lowest polymorph ... 0 meV/atom

Cell lengths 6.732, 6.476, 9.217 Å; angles 79.06, 68.58, 58.68 degrees
Sites, in units of the cell vectors:
Rb (0.855, 0.000, 0.290)
Rb (0.145, 0.000, 0.710)
Hg (0.500, 0.000, 0.000)
Hg (0.000, 0.500, 0.000)
Hg (0.500, 0.500, 0.000)
Hg (0.250, 0.500, 0.500)
Hg (0.750, 0.500, 0.500)
Au (0.503, 0.270, 0.724)
Au (0.497, 0.730, 0.276)
Au (0.227, 0.270, 0.276)
Au (0.773, 0.730, 0.724)

=====

SrSmTlCu: relaxed, GGA-PBE.

## Properties
Formation energy from the elements ... -152 meV per atom
Magnetic moment ... 0.000 μB per cell

Cell lengths 5.414, 5.414, 5.414 Å; angles 60.00, 60.00, 60.00 degrees
Sites, in units of the cell vectors:
Sr (0.250, 0.250, 0.250)
Tl (0.000, 0.000, 0.000)
Cu (0.500, 0.500, 0.500)
Sm (0.750, 0.750, 0.750)